(1)
The following is a GGA-PBEsol calculation of a relaxed Na3CdOs crystal, from the Alexandria database.

Calculated values
Its crystal system is cubic. Its calculated formation energy is 1.3748 eV/atom. Its space group is Pm-3m, No. 221.

The structure in POSCAR format:
```
Na3CdOs
1.0
5.473 0.000 0.000
0.000 5.473 0.000
0.000 0.000 5.473
Na Cd Os
3 1 1
Cartesian
0.000 0.000 2.737
0.000 2.737 0.000
2.737 0.000 0.000
2.737 2.737 2.737
0.000 0.000 0.000
```

---

(2)
The following is a GGA-PBEsol calculation of a relaxed Hf3TeI crystal, from the Alexandria database.

Calculated values
Its crystal system is cubic. The calculation puts the energy relative to the elements, uncorrected at 1.0312 eV/atom. Its space group is Pm-3m, No. 221.

The structure in POSCAR format:
```
Hf3TeI
1.0
5.225 0.000 0.000
0.000 5.225 0.000
0.000 0.000 5.225
Hf Te I
3 1 1
Cartesian
0.000 0.000 2.613
0.000 2.613 0.000
2.613 0.000 0.000
0.000 0.000 0.000
2.613 2.613 2.613
```

---

| no. | density (g cm⁻³) | total energy (eV/cell) |
| --- | --- | --- |
| 1 | 3.76 | -10.74 |
| 2 | 9.20 | -31.65 |